## TeRu4Pb (PBE-GGA)

Data for a relaxed structure of TeRu4Pb.

Values from the calculation:
The crystal system is cubic. The calculation puts the total magnetic moment at 0.023 Bohr magnetons per cell. The total energy comes out at -39.91 eV for the cell shown. Its symmetry is No. 216.

a = 5.315 Å, b = 5.315 Å, c = 5.315 Å
α = 60.00°, β = 60.00°, γ = 60.00°
Sites, in units of the cell vectors:
Te1 0.000 0.000 0.000
Ru1 0.375 0.375 0.375
Ru2 0.375 0.375 0.876
Ru3 0.375 0.876 0.375
Ru4 0.876 0.375 0.375
Pb1 0.750 0.750 0.750